Density functional theory data (GGA-PBEsol) for LiBe3Re after structural relaxation.

The structure in POSCAR format:
```
LiBe3Re
1.0
-1.566 -3.276 -0.162
2.458 -1.292 2.345
-2.171 0.901 2.772
Re Li Be
1 1 3
Cartesian
-0.640 -1.833 2.477
0.000 0.000 0.000
1.229 -0.646 1.173
-1.086 0.450 1.386
-0.783 -1.638 -0.081
```

For the uncorrected energy, the calculation gives -4.5770 eV per atom. As for the energy relative to the elements: 0.883 eV per atom.


Density functional theory data (GGA-PBEsol) for LiBeRe after structural relaxation.

The structure in POSCAR format:
```
LiBeRe
1.0
3.673 0.000 0.000
1.837 3.181 0.000
1.837 1.060 2.999
Re Li Be
1 1 1
Cartesian
0.000 0.000 0.000
1.837 1.060 0.750
3.673 2.121 1.500
```

For the uncorrected energy, the calculation gives -5.0491 eV per atom. As for the energy relative to the elements: 1.384 eV per atom.